FeTcAu2 GGA-PBE optimized geometry; D(E_F) = 1.074 states/eV/atom; calculated total energy = -23.85 eV/cell; E_form = 148 kJ/mol of formula units
1.0
-1.068 2.412 4.122
0.859 0.597 4.781
3.464 3.564 -0.310
Tc Fe Au
1 1 2
Direct
0.750 0.750 0.750 Tc
0.250 0.250 0.250 Fe
0.501 0.501 0.498 Au
0.999 0.999 0.002 Au